1.
Density functional theory data (PBE) for a relaxed Tb4SmCd crystal.

```
12
Lattice="5.260 -3.052 0.000 5.260 3.052 0.000 -3.444 0.000 11.272" Properties=species:S:1:pos:R:3 pbc="T T T"
Tb 0.976 1.565 11.250
Tb 2.659 0.512 2.812
Tb 4.378 1.565 5.658
Tb 0.937 -0.512 8.448
Tb 6.139 0.512 2.825
Tb 2.698 -1.565 5.614
Tb 4.417 -0.512 8.461
Tb 6.100 -1.565 0.022
Sm 0.908 1.526 5.636
Sm 2.630 -1.526 0.000
Cd 2.677 2.565 8.454
Cd 4.399 -2.565 2.818
```

Output
* density: 8.2 g/cm³
* space-group type: C2/c
* energy relative to the lowest polymorph listed for this composition: 36 kJ/mol of formula units
* M_tot: 0.000 Bohr magnetons per cell
* ΔE_f: -29 meV per atom
* E_tot: -48.7 eV per cell



2.
Density functional theory data (PBE) for a relaxed CdGa3Sn crystal.

```
10
Lattice="5.844 0.000 0.000 0.000 6.325 0.000 -0.680 0.000 5.976" Properties=species:S:1:pos:R:3 pbc="T T T"
Cd -0.027 1.581 2.728
Cd 5.192 4.744 3.247
Ga 0.493 0.168 5.387
Ga 0.493 2.995 5.387
Ga 2.672 1.581 1.396
Ga 2.493 4.744 4.580
Ga 4.671 3.330 0.588
Ga 4.671 6.157 0.588
Sn 2.179 4.744 1.677
Sn 2.985 1.581 4.299
```

Output
* density: 6.6 g/cm³
* space-group type: P2_1/m
* energy relative to the lowest polymorph listed for this composition: 0 kJ/mol of formula units
* M_tot: 0.000 Bohr magnetons per cell
* ΔE_f: 44 meV per atom
* E_tot: -27.6 eV per cell



Q: density of number 1 (Tb4SmCd)?
A: 8.2 g/cm³